{"formula": "Mg2Ge2Mo", "functional": "PBE", "state": "relaxed", "de_polymorph_mev_per_atom": 427, "delta_e_f_mev_per_atom": 425, "lattice": [[7.784, 0.000, 0.000], [0.000, 7.784, 0.000], [0.000, 0.000, 2.913]], "species": ["Mg", "Mg", "Mg", "Mg", "Ge", "Ge", "Ge", "Ge", "Mo", "Mo"], "fractional_positions": [[0.126, 0.374, 0.000], [0.374, 0.874, 0.000], [0.626, 0.126, 0.000], [0.874, 0.626, 0.000], [0.176, 0.676, 0.500], [0.324, 0.176, 0.500], [0.676, 0.824, 0.500], [0.824, 0.324, 0.500], [0.000, 0.000, 0.000], [0.500, 0.500, 0.000]]}